# 1
Here is CsCd12In6 after structural relaxation from Alexandria. Energies are from PBE.

The energy of formation from the pure elements comes out at 0.45 eV/f.u. As for the crystal system: trigonal. The raw total energy is -83.4 eV/cell.

Cell: 12.3522 12.3522 11.9385 Å, 90.00 90.00 120.00°
Space group R-3 (No. 148, hexagonal axes)
Asymmetric unit:
Cs  0.0000  0.0000  0.0000 [3 per cell]
Cd  0.0028  0.4071  0.4233 [18 per cell]
Cd  0.0544  0.5170  0.1961 [18 per cell]
In  0.0393  0.1679  0.2905 [18 per cell]



# 2
Here is CsCd5In7 after structural relaxation from Alexandria. Energies are from PBE.

The energy of formation from the pure elements comes out at -0.19 eV/f.u. As for the crystal system: orthorhombic. The raw total energy is -49.6 eV/cell.

Cell: 6.0782 10.7817 10.9893 Å, 90.00 90.00 90.00°
Space group Imm2 (No. 44)
Asymmetric unit:
Cs  0.0000  0.0000  0.0000 [2 per cell]
Cd  0.0000  0.5000  0.2754 [2 per cell]
Cd  0.2505  0.2458  0.7506 [8 per cell]
In  0.0000  0.0000  0.3534 [2 per cell]
In  0.0000  0.0000  0.6442 [2 per cell]
In  0.0000  0.2833  0.4996 [4 per cell]
In  0.0000  0.3541  0.9992 [4 per cell]
In  0.0000  0.5000  0.7209 [2 per cell]



# 3
Here is Cs3Cd9In2 after structural relaxation from Alexandria. Energies are from PBE.

The energy of formation from the pure elements comes out at -0.59 eV/f.u. As for the crystal system: orthorhombic. The raw total energy is -33.7 eV/cell.

Cell: 5.0541 13.7437 14.4299 Å, 90.00 90.00 90.00°
Space group Immm (No. 71)
Asymmetric unit:
Cs  0.0000  0.0000  0.0000 [2 per cell]
Cs  0.0000  0.0000  0.2925 [4 per cell]
Cd  0.0000  0.2895  0.3012 [8 per cell]
Cd  0.0000  0.3043  0.1011 [8 per cell]
Cd  0.0000  0.5000  0.0000 [2 per cell]
In  0.0000  0.2719  0.5000 [4 per cell]



# 4
Here is CsCd2In2 after structural relaxation from Alexandria. Energies are from PBE.

The energy of formation from the pure elements comes out at 0.08 eV/f.u. The calculation puts the energy above the lowest structure with this stoichiometry at 0.072 eV per atom. As for the crystal system: tetragonal. The raw total energy is -16.2 eV/cell.

Cell: 9.6581 9.6581 3.3320 Å, 90.00 90.00 90.00°
Space group P4/mbm (No. 127)
Asymmetric unit:
Cs  0.0000  0.0000  0.0000 [2 per cell]
Cd  0.1370  0.3630  0.0000 [4 per cell]
In  0.1484  0.6484  0.5000 [4 per cell]



# 5
Here is Cs2Cd2In after structural relaxation from Alexandria. Energies are from PBE.

The energy of formation from the pure elements comes out at -0.29 eV/f.u. The calculation puts the energy above the lowest structure with this stoichiometry at 0.008 eV per atom. As for the crystal system: trigonal. The raw total energy is -19.7 eV/cell.

Cell: 5.1251 5.1251 34.6275 Å, 90.00 90.00 120.00°
Space group R-3m (No. 166, hexagonal axes)
Asymmetric unit:
Cs  0.0000  0.0000  0.0722 [6 per cell]
Cd  0.0000  0.0000  0.1871 [6 per cell]
In  0.0000  0.0000  0.5000 [3 per cell]



# 6
Here is Cs3Cd8In3 after structural relaxation from Alexandria. Energies are from PBE.

The energy of formation from the pure elements comes out at -0.50 eV/f.u. As for the crystal system: orthorhombic. The raw total energy is -37.2 eV/cell.

Cell: 5.4693 10.7268 15.6111 Å, 90.00 90.00 90.00°
Space group Immm (No. 71)
Asymmetric unit:
Cs  0.0000  0.0000  0.0000 [2 per cell]
Cs  0.0000  0.0000  0.2887 [4 per cell]
Cd  0.0000  0.2966  0.1389 [8 per cell]
Cd  0.0000  0.3467  0.3370 [8 per cell]
In  0.0000  0.1794  0.5000 [4 per cell]
In  0.0000  0.5000  0.0000 [2 per cell]